No. 1
The following is a meta-GGA SCAN calculation of a PBEsol-optimized structure of Fe2CoClF, from Alexandria.

Cell: 4.475 4.475 3.688 Å, 90.00 90.00 90.00°
Space group P4/mmm (No. 123)
Symmetry-distinct sites (fractional):
Fe: 0.000 0.500 0.000 (multiplicity 2)
Co: 0.000 0.000 0.000 (multiplicity 1)
Cl: 0.500 0.500 0.500 (multiplicity 1)
F: 0.000 0.000 0.500 (multiplicity 1)

**Magnetization**: 7.5 μB/cell

---

No. 2
The following is a meta-GGA SCAN calculation of a PBEsol-optimized structure of CoNClF2, from Alexandria.

Cell: 4.662 4.662 3.223 Å, 90.00 90.00 90.00°
Space group P4/mmm (No. 123)
Symmetry-distinct sites (fractional):
Co: 0.000 0.000 0.000 (multiplicity 1)
N: 0.500 0.500 0.000 (multiplicity 1)
Cl: 0.500 0.500 0.500 (multiplicity 1)
F: 0.000 0.500 0.500 (multiplicity 2)

**Magnetization**: 2.7 μB/cell

---

No. 3
The following is a meta-GGA SCAN calculation of a PBEsol-optimized structure of CoS2ClF, from Alexandria.

Cell: 4.224 4.224 4.558 Å, 90.00 90.00 90.00°
Space group P4/mmm (No. 123)
Symmetry-distinct sites (fractional):
Co: 0.000 0.000 0.000 (multiplicity 1)
S: 0.000 0.500 0.000 (multiplicity 2)
Cl: 0.000 0.000 0.500 (multiplicity 1)
F: 0.500 0.500 0.500 (multiplicity 1)

**Magnetization**: 0.0 μB/cell

---

no.,formation energy without anion corrections (eV per atom)
1,0.144
2,0.838
3,0.300